No. 1
UW: optimized geometry, PBE.

Summary:
The calculation puts the energy above the most stable polymorph in this dataset at 74.7 kJ/mol of formula units. The space group is Fm-3m, No. 225. The calculation puts the energy of formation from the pure elements at 1.069 eV/atom.

Cell lengths 3.921, 3.921, 3.921 Å; angles 60.00, 60.00, 60.00 degrees
Fractional positions:
U 0.000 0.000 0.000
W 0.500 0.500 0.500

***

No. 2
TbDy2P3: optimized geometry, PBE.

Summary:
The space group is P-3m1, No. 164.

Cell lengths 4.012, 4.012, 9.841 Å; angles 90.00, 90.00, 120.00 degrees
Fractional positions:
Tb 0.000 0.000 0.000
Dy 0.333 0.667 0.334
Dy 0.667 0.333 0.666
P 0.000 0.000 0.500
P 0.333 0.667 0.833
P 0.667 0.333 0.167

***

No. 3
Na2PtCl6: optimized geometry, PBE.

Summary:
The calculation puts the energy above the most stable polymorph in this dataset at 31.7 kJ/mol of formula units. The space group is I4/mmm, No. 139.

Cell lengths 6.767, 6.767, 6.767 Å; angles 119.38, 119.38, 91.07 degrees
Fractional positions:
Na 0.250 0.750 0.500
Na 0.750 0.250 0.500
Pt 0.000 0.000 0.000
Cl 0.242 0.242 0.483
Cl 0.242 0.758 0.000
Cl 0.246 0.246 0.000
Cl 0.754 0.754 0.000
Cl 0.758 0.242 0.000
Cl 0.758 0.758 0.517

***

No. 4
Zn2Ni3Sn: optimized geometry, PBE.

Summary:
The space group is P-4m2, No. 115.

Cell lengths 3.597, 3.597, 6.634 Å; angles 90.00, 90.00, 90.00 degrees
Fractional positions:
Zn 0.000 0.500 0.155
Zn 0.500 0.000 0.845
Ni 0.000 0.500 0.792
Ni 0.500 0.000 0.208
Ni 0.500 0.500 0.500
Sn 0.000 0.000 0.500

***

| no. | mass density (g/cm³) | M_tot (Bohr magnetons per cell) | VASP energy (eV per atom) |
| --- | --- | --- | --- |
| 1 | 16.44 | 0.0 | -11.0592 |
| 2 | 6.98 | 0.0 | -6.6248 |
| 3 | 3.41 | 0.0 | -3.2114 |
| 4 | 8.23 | 0.0 | -3.9034 |